Record 1
Compound: NiAs2Rh
Source: Alexandria
Functional: PBE-GGA
Structure: relaxed

Properties
- energy relative to the elements (eV per atom) = -0.074

Cell lengths 6.169, 6.169, 6.169 Å; angles 90.00, 90.00, 90.00 degrees
Space group Fm-3m (No. 225)
Unique sites:
Ni1 0.000 0.000 0.000
As1 0.250 0.250 0.250
Rh1 0.000 0.000 0.500

=====

Record 2
Compound: TlSeCl2
Source: Alexandria
Functional: PBE-GGA
Structure: relaxed

Properties
- energy above the most stable polymorph in this dataset (eV per formula unit) = 0.000
- raw formation energy (eV/atom) = -0.388

Cell lengths 4.845, 5.787, 5.159 Å; angles 90.00, 115.58, 90.00 degrees
Space group Pm (No. 6)
Unique sites:
Tl1 0.000 0.000 0.000
Se1 0.961 0.500 0.942
Cl1 0.453 0.500 0.779
Cl2 0.653 0.000 0.341

=====

Record 3
Compound: LiTaNb2N
Source: Alexandria
Functional: PBE-GGA
Structure: relaxed

Properties
- raw formation energy (eV/atom) = 1.961

Cell lengths 4.285, 4.285, 4.349 Å; angles 90.00, 90.00, 90.00 degrees
Space group P4/mmm (No. 123)
Unique sites:
Li1 0.000 0.000 0.000
Ta1 0.000 0.000 0.500
Nb1 0.000 0.500 0.000
N1 0.500 0.500 0.500

=====

Taking the records one at a time from the top gives magnetic moment values of 0.0000, 0.0000, 0.0000 μB/atom.